Density functional theory data (PBE) for a geometry-optimized YInAu2 structure.

Values from the calculation:
DOS(E_F), states/eV per atom: 0.39
Calculated formation energy, eV per atom: -0.4894
Crystal system: orthorhombic
Volume, Å³ per cell: 90.1

abc: 3.709 3.786 6.414
angles: 90.00 90.00 90.00
Space group Pmm2 (No. 25)
Unique sites:
Y 0.000 0.000 0.000 x1
In 0.500 0.500 0.669 x1
Au 0.000 0.000 0.482 x1
Au 0.500 0.500 0.213 x1